# 1
{"formula": "TaP2Os", "functional": "PBEsol", "state": "optimized geometry", "lattice": [[2.860, 0.000, 0.000], [0.000, 2.860, 0.000], [0.000, 0.000, 7.821]], "species": ["Ta", "P", "P", "Os"], "fractional_positions": [[0.000, 0.000, 0.000], [0.000, 0.000, 0.422], [0.500, 0.500, 0.774], [0.500, 0.500, 0.254]], "polymorph_energy_mev_per_atom": 119, "dos_ef_per_ev_fu": 1.91, "e_form_kj_per_mol_atoms": -15}

***

# 2
{"formula": "TlCd2", "functional": "PBEsol", "state": "optimized geometry", "lattice": [[8.872, 0.000, 0.000], [-4.436, 7.683, 0.000], [0.000, 0.000, 3.162]], "species": ["Tl", "Tl", "Tl", "Cd", "Cd", "Cd", "Cd", "Cd", "Cd"], "fractional_positions": [[0.000, 0.000, 0.000], [0.333, 0.667, 0.500], [0.667, 0.333, 0.500], [0.000, 0.355, 0.000], [0.000, 0.689, 0.500], [0.311, 0.311, 0.500], [0.355, 0.000, 0.000], [0.645, 0.645, 0.000], [0.689, 0.000, 0.500]], "dos_ef_per_ev_fu": 1.33, "e_form_kj_per_mol_atoms": 11}

***

# 3
{"formula": "YHgPb2", "functional": "PBEsol", "state": "optimized geometry", "lattice": [[1.786, 1.031, 9.964], [-1.786, 1.031, 9.964], [0.000, -2.062, 9.964]], "species": ["Y", "Hg", "Pb", "Pb"], "fractional_positions": [[0.000, 0.000, 0.000], [0.743, 0.743, 0.743], [0.247, 0.247, 0.247], [0.490, 0.490, 0.490]], "dos_ef_per_ev_fu": 2.59, "e_form_kj_per_mol_atoms": -18}

***

# 4
{"formula": "Ag2Te4MoO12", "functional": "PBEsol", "state": "optimized geometry", "lattice": [[8.749, -2.821, 0.000], [8.749, 2.821, 0.000], [-3.274, 0.000, 10.905]], "species": ["Ag", "Ag", "Ag", "Ag", "Te", "Te", "Te", "Te", "Te", "Te", "Te", "Te", "Mo", "Mo", "O", "O", "O", "O", "O", "O", "O", "O", "O", "O", "O", "O", "O", "O", "O", "O", "O", "O", "O", "O", "O", "O", "O", "O"], "fractional_positions": [[0.016, 0.552, 0.727], [0.448, 0.984, 0.773], [0.552, 0.016, 0.227], [0.984, 0.448, 0.273], [0.125, 0.695, 0.406], [0.159, 0.531, 0.065], [0.305, 0.875, 0.094], [0.469, 0.841, 0.435], [0.531, 0.159, 0.565], [0.695, 0.125, 0.906], [0.841, 0.469, 0.935], [0.875, 0.305, 0.594], [0.327, 0.673, 0.750], [0.673, 0.327, 0.250], [0.008, 0.306, 0.756], [0.112, 0.851, 0.859], [0.149, 0.888, 0.641], [0.175, 0.310, 0.065], [0.283, 0.498, 0.665], [0.306, 0.008, 0.256], [0.310, 0.175, 0.565], [0.338, 0.347, 0.411], [0.347, 0.338, 0.911], [0.374, 0.610, 0.369], [0.390, 0.626, 0.131], [0.498, 0.283, 0.165], [0.502, 0.717, 0.835], [0.610, 0.374, 0.869], [0.626, 0.390, 0.631], [0.653, 0.662, 0.089], [0.662, 0.653, 0.589], [0.690, 0.825, 0.435], [0.694, 0.992, 0.744], [0.717, 0.502, 0.335], [0.825, 0.690, 0.935], [0.851, 0.112, 0.359], [0.888, 0.149, 0.141], [0.992, 0.694, 0.244]], "dos_ef_per_ev_fu": 0.00, "raw_formation_energy_ev_per_fu": -20.6}

***

# 5
{"formula": "TaBeTl3", "functional": "PBEsol", "state": "optimized geometry", "lattice": [[5.421, 0.000, 0.000], [0.000, 5.421, 0.000], [0.000, 0.000, 5.421]], "species": ["Ta", "Be", "Tl", "Tl", "Tl"], "fractional_positions": [[0.000, 0.000, 0.000], [0.500, 0.500, 0.500], [0.000, 0.000, 0.500], [0.000, 0.500, 0.000], [0.500, 0.000, 0.000]], "dos_ef_per_ev_fu": 6.36, "e_form_kj_per_mol_atoms": 129}

***

# 6
{"formula": "BiTePt", "functional": "PBEsol", "state": "optimized geometry", "lattice": [[6.660, 0.000, 0.000], [0.000, 6.660, 0.000], [0.000, 0.000, 6.660]], "species": ["Bi", "Bi", "Bi", "Bi", "Te", "Te", "Te", "Te", "Pt", "Pt", "Pt", "Pt"], "fractional_positions": [[0.132, 0.368, 0.632], [0.368, 0.632, 0.132], [0.632, 0.132, 0.368], [0.868, 0.868, 0.868], [0.128, 0.128, 0.128], [0.372, 0.872, 0.628], [0.628, 0.372, 0.872], [0.872, 0.628, 0.372], [0.006, 0.994, 0.494], [0.494, 0.006, 0.994], [0.506, 0.506, 0.506], [0.994, 0.494, 0.006]], "dos_ef_per_ev_fu": 1.40, "raw_formation_energy_ev_per_fu": -1.0}

***

# 7
{"formula": "CrIr2Pt", "functional": "PBEsol", "state": "optimized geometry", "lattice": [[-1.902, 1.902, 3.774], [1.902, -1.902, 3.774], [1.902, 1.902, -3.774]], "species": ["Cr", "Ir", "Ir", "Pt"], "fractional_positions": [[0.000, 0.000, 0.000], [0.250, 0.750, 0.500], [0.750, 0.250, 0.500], [0.500, 0.500, 0.000]], "dos_ef_per_ev_fu": 4.20, "e_form_kj_per_mol_atoms": -11}

***

# 8
{"formula": "ReTcAu2", "functional": "PBEsol", "state": "optimized geometry", "lattice": [[2.796, 0.000, 0.000], [0.000, 2.796, 0.000], [0.000, 0.000, 8.019]], "species": ["Re", "Tc", "Au", "Au"], "fractional_positions": [[0.000, 0.000, 0.000], [0.500, 0.500, 0.208], [0.000, 0.000, 0.468], [0.500, 0.500, 0.740]], "polymorph_energy_mev_per_atom": 0, "dos_ef_per_ev_fu": 3.25, "e_form_kj_per_mol_atoms": 17}